1.
# PBE Pr3NdC2Cl2, relaxed
data_Pr3NdC2Cl2
_chemical_formula_sum 'Pr3 Nd1 C2 Cl2'
_symmetry_space_group_name_H-M 'P 3 m 1'
_symmetry_Int_Tables_number 156
_symmetry_space_group_name_Hall 'P 3 -2"'
_cell_length_a 3.7975
_cell_length_b 3.7975
_cell_length_c 14.4953
_cell_angle_alpha 90.00
_cell_angle_beta 90.00
_cell_angle_gamma 120.00
loop_
_atom_site_label
_atom_site_type_symbol
_atom_site_fract_x
_atom_site_fract_y
_atom_site_fract_z
Pr1 Pr 0.0000 0.0000 0.0000
Pr2 Pr 0.0000 0.0000 0.3085
Pr3 Pr 0.6667 0.3333 0.5011
Nd1 Nd 0.6667 0.3333 0.8088
C1 C 0.3333 0.6667 0.4048
C2 C 0.3333 0.6667 0.9025
Cl1 Cl 0.0000 0.0000 0.6568
Cl2 Cl 0.6667 0.3333 0.1541
# Size of the total moment   0.000 μB per atom
# ρ   6.07 Mg/m³


2.
# PBE HfZrSc, relaxed
data_HfZrSc
_chemical_formula_sum 'Hf4 Zr4 Sc4'
_symmetry_space_group_name_H-M 'F -4 3 m'
_symmetry_Int_Tables_number 216
_symmetry_space_group_name_Hall 'F -4 2 3'
_cell_length_a 6.839
_cell_length_b 6.839
_cell_length_c 6.839
_cell_angle_alpha 90.00
_cell_angle_beta 90.00
_cell_angle_gamma 90.00
loop_
_atom_site_label
_atom_site_type_symbol
_atom_site_fract_x
_atom_site_fract_y
_atom_site_fract_z
Hf1 Hf 0.000 0.000 0.000
Zr1 Zr 0.250 0.250 0.250
Sc1 Sc 0.000 0.000 0.500
# Size of the total moment   0.419 μB per atom
# Energy above the lowest structure with this stoichiometry   0 meV/atom
# ρ   6.53 Mg/m³


3.
# PBE Ba2PrMg3Tl2Cd, relaxed
data_Ba2PrMg3Tl2Cd
_chemical_formula_sum 'Ba4 Pr2 Mg6 Tl4 Cd2'
_symmetry_space_group_name_H-M 'A m m 2'
_symmetry_Int_Tables_number 38
_symmetry_space_group_name_Hall 'A 2 -2'
_cell_length_a 5.002
_cell_length_b 14.271
_cell_length_c 8.049
_cell_angle_alpha 90.00
_cell_angle_beta 90.00
_cell_angle_gamma 90.00
loop_
_atom_site_label
_atom_site_type_symbol
_atom_site_fract_x
_atom_site_fract_y
_atom_site_fract_z
Ba1 Ba 0.000 0.211 0.000
Pr1 Pr 0.000 0.000 0.366
Mg1 Mg 0.500 0.000 0.019
Mg2 Mg 0.500 0.111 0.669
Tl1 Tl 0.500 0.150 0.297
Cd1 Cd 0.000 0.000 0.778
# Size of the total moment   0.003 μB per atom
# ρ   5.84 Mg/m³


Number 1: total DFT energy (no corrections) -6.16 eV per atom. Number 2: total DFT energy (no corrections) -7.36 eV per atom. Number 3: total DFT energy (no corrections) -2.35 eV per atom.